# 1
First-principles (PBE) data for a relaxed structure of SrHfN2, as listed in Alexandria.

Cell and atoms, written as POSCAR:
```
SrHfN2
1.0
0.000 2.980 2.980
2.980 0.000 2.980
2.980 2.980 0.000
N Hf Sr
2 1 1
Cartesian
1.490 1.490 1.490
4.470 4.470 4.470
2.980 2.980 2.980
0.000 0.000 0.000
```

- Space group: No. 225
- E_form (uncorrected): -0.0738 eV/atom


# 2
First-principles (PBE) data for a relaxed structure of ErTh2Zn6, as listed in Alexandria.

Cell and atoms, written as POSCAR:
```
ErTh2Zn6
1.0
3.526 0.000 0.000
0.000 6.823 -3.939
0.000 0.000 7.879
Zn Th Er
6 2 1
Cartesian
1.763 2.238 1.292
1.763 4.585 5.232
1.763 2.238 -1.292
1.763 0.000 2.585
1.763 0.000 5.294
1.763 4.585 2.647
3.526 4.549 0.000
0.000 2.274 3.939
0.000 0.000 7.879
```

- Energy of formation: -0.30 eV per atom
- Space group: No. 191


# 3
First-principles (PBE) data for a relaxed structure of CoSi2Os, as listed in Alexandria.

Cell and atoms, written as POSCAR:
```
CoSi2Os
1.0
3.790 0.000 0.000
0.000 3.790 0.000
1.895 1.895 7.759
Os Si Co
2 4 2
Cartesian
3.790 1.895 3.879
0.000 0.000 0.000
2.842 2.980 5.819
2.704 0.947 1.940
4.737 4.599 5.819
1.086 2.842 1.940
1.895 3.790 3.879
1.895 1.895 0.000
```

- Space group: No. 122
- E_form (uncorrected): 0.1208 eV/atom


# 4
First-principles (PBE) data for a relaxed structure of Y3TmNi, as listed in Alexandria.

Cell and atoms, written as POSCAR:
```
Y3TmNi
1.0
-0.969 2.341 -2.586
-4.425 -2.870 -3.475
-9.247 5.864 6.239
Y Ni Tm
6 2 2
Cartesian
-10.850 4.208 0.272
-4.643 3.965 0.261
-7.856 2.248 -0.090
-6.739 3.480 3.141
-9.883 7.380 2.782
-6.087 -0.797 -3.509
-9.256 4.638 2.598
-3.328 1.597 -2.376
-4.792 0.417 -0.361
-11.902 4.762 3.702
```

- Energy of formation: -0.18 eV per atom
- Distance to the lowest polymorph of the same formula: 0.000 eV per formula unit
- Space group: No. 8


# 5
First-principles (PBE) data for a relaxed structure of GdHoMgPb, as listed in Alexandria.

Cell and atoms, written as POSCAR:
```
GdHoMgPb
1.0
-2.584 -0.564 -4.678
2.340 -2.627 -4.063
-1.836 -4.826 -1.491
Pb Ho Gd Mg
1 1 1 1
Cartesian
-1.040 -4.009 -5.116
-0.520 -2.004 -2.558
-1.560 -6.013 -7.675
0.000 0.000 0.000
```

- Energy of formation: -0.29 eV per atom
- Space group: No. 216


# 6
First-principles (PBE) data for a relaxed structure of PaCrSi, as listed in Alexandria.

Cell and atoms, written as POSCAR:
```
PaCrSi
1.0
3.409 0.000 0.000
0.000 4.313 0.000
0.000 -2.157 3.735
Si Pa Cr
1 1 1
Cartesian
1.704 0.000 2.490
0.000 0.000 0.000
1.704 2.157 1.245
```

- Space group: No. 187
- E_form (uncorrected): -0.1959 eV/atom


# 7
First-principles (PBE) data for a relaxed structure of AcCe2PuAs4, as listed in Alexandria.

Cell and atoms, written as POSCAR:
```
AcCe2PuAs4
1.0
-0.338 -3.611 2.296
5.318 -3.140 -4.155
6.642 1.321 3.056
As Ac Pu Ce
4 1 1 2
Cartesian
2.676 -3.998 2.131
8.947 -1.432 -0.934
5.570 -3.834 -1.197
6.052 -1.595 2.394
2.490 -3.376 -0.929
5.980 -0.909 -0.549
6.642 1.321 3.056
3.152 -1.145 2.676
```

- Energy of formation: -1.30 eV per atom
- Space group: No. 10


# 8
First-principles (PBE) data for a relaxed structure of OsPbBr, as listed in Alexandria.

Cell and atoms, written as POSCAR:
```
OsPbBr
1.0
7.380 -0.036 0.000
6.034 4.249 0.000
-6.707 -2.106 2.246
Pb Os Br
1 1 1
Cartesian
9.402 2.952 0.000
4.590 1.441 0.000
12.836 4.031 0.000
```

- Distance to the lowest polymorph of the same formula: 0.131 eV per formula unit
- Space group: No. 107
- E_form (uncorrected): 0.9042 eV/atom


# 9
First-principles (PBE) data for a relaxed structure of YOsAu, as listed in Alexandria.

Cell and atoms, written as POSCAR:
```
YOsAu
1.0
4.471 0.000 0.000
-2.235 3.872 0.000
0.000 0.000 3.631
Au Os Y
1 1 1
Cartesian
0.000 0.000 0.605
2.235 1.291 0.605
0.000 2.581 2.421
```

- Energy of formation: -0.03 eV per atom
- Distance to the lowest polymorph of the same formula: 0.000 eV per formula unit
- Space group: No. 187


# 10
First-principles (PBE) data for a relaxed structure of LaCeZn2, as listed in Alexandria.

Cell and atoms, written as POSCAR:
```
LaCeZn2
1.0
-3.284 -3.907 1.128
1.123 -3.321 3.877
-2.776 0.116 4.427
Zn Ce La
2 1 1
Cartesian
-1.234 -1.778 2.358
-3.703 -5.334 7.074
-2.469 -3.556 4.716
0.000 0.000 0.000
```

- Energy of formation: -0.23 eV per atom
- Distance to the lowest polymorph of the same formula: 0.053 eV per formula unit
- Space group: No. 225


# 11
First-principles (PBE) data for a relaxed structure of CsKICl, as listed in Alexandria.

Cell and atoms, written as POSCAR:
```
CsKICl
1.0
4.995 0.000 0.000
0.000 4.995 0.000
0.000 0.000 7.447
Cl Cs K I
1 1 1 1
Cartesian
0.000 0.000 3.724
2.498 2.498 3.724
0.000 0.000 0.000
2.498 2.498 0.000
```

- Distance to the lowest polymorph of the same formula: 0.000 eV per formula unit
- Space group: No. 123
- E_form (uncorrected): -1.6933 eV/atom


# 12
First-principles (PBE) data for a relaxed structure of Sc2AgI, as listed in Alexandria.

Cell and atoms, written as POSCAR:
```
Sc2AgI
1.0
0.602 1.238 4.855
-3.789 -0.673 3.264
0.303 -3.616 3.507
Sc I Ag
2 1 1
Cartesian
-0.721 -0.763 2.906
-2.163 -2.288 8.719
-1.442 -1.525 5.813
0.000 0.000 0.000
```

- Distance to the lowest polymorph of the same formula: 0.287 eV per formula unit
- Space group: No. 225
- E_form (uncorrected): -0.1022 eV/atom